# 1
Zn2CrC: optimized geometry, PBE-GGA. Values from VASP.

```
&SYSTEM
  ibrav = 0, nat = 16, ntyp = 3
/
ATOMIC_SPECIES
Cr 52.00 Cr.upf
Zn 65.41 Zn.upf
C 12.01 C.upf
ATOMIC_POSITIONS crystal
Cr 0.3448 0.0000 0.7664
Cr 0.3448 0.5000 0.2664
Cr 0.8103 0.0000 0.6866
Cr 0.8103 0.5000 0.1866
Zn 0.8725 0.0000 0.8586
Zn 0.8725 0.5000 0.3586
Zn 0.3937 0.0000 0.4058
Zn 0.3937 0.5000 0.9058
Zn 0.5091 0.0000 0.0509
Zn 0.5091 0.5000 0.5509
Zn 0.9864 0.0000 0.5194
Zn 0.9864 0.5000 0.0194
C 0.1476 0.0000 0.1962
C 0.1476 0.5000 0.6962
C 0.4675 0.0000 0.1853
C 0.4675 0.5000 0.6853
CELL_PARAMETERS angstrom
-0.9670 -4.2678 0.6007
2.2506 -0.7285 -1.5528
9.3869 1.0988 13.0900
```

Computed properties:
- formation energy (eV/atom) = 0.238
- spin magnetization (μB per cell) = 3.81
- symmetry = Cm
- Fermi-level density of states (states/eV/atom) = 0.50


# 2
Zn2CrC: optimized geometry, PBE-GGA. Values from VASP.

```
&SYSTEM
  ibrav = 0, nat = 4, ntyp = 3
/
ATOMIC_SPECIES
Cr 52.00 Cr.upf
Zn 65.41 Zn.upf
C 12.01 C.upf
ATOMIC_POSITIONS crystal
Cr 0.4136 0.0000 0.2170
Zn 0.0735 0.5000 0.5319
Zn 0.7258 0.0000 0.8412
C 0.8791 0.5000 0.1471
CELL_PARAMETERS angstrom
2.7124 0.0000 -0.0232
0.0000 2.7671 0.0000
-1.3339 0.0000 6.2478
```

Computed properties:
- formation energy (eV/atom) = 0.215
- spin magnetization (μB per cell) = 0.00
- symmetry = Pm
- Fermi-level density of states (states/eV/atom) = 0.35


# 3
Zn2CrC: optimized geometry, PBE-GGA. Values from VASP.

```
&SYSTEM
  ibrav = 0, nat = 8, ntyp = 3
/
ATOMIC_SPECIES
Cr 52.00 Cr.upf
Zn 65.41 Zn.upf
C 12.01 C.upf
ATOMIC_POSITIONS crystal
Cr 0.0000 0.0000 0.0000
Cr 0.7500 0.2500 0.5000
Zn 0.5251 0.1250 0.2500
Zn 0.2249 0.6250 0.2500
Zn 0.3750 0.4749 0.7500
Zn 0.8750 0.7751 0.7500
C 0.5000 0.5000 0.0000
C 0.2500 0.7500 0.5000
CELL_PARAMETERS angstrom
-0.6596 4.3580 5.7153
-7.1740 -0.7475 -0.2579
-3.7954 0.2181 3.9529
```

Computed properties:
- formation energy (eV/atom) = 0.617
- spin magnetization (μB per cell) = 4.06
- symmetry = I-42d
- Fermi-level density of states (states/eV/atom) = 0.42


# 4
ZnCrC2: optimized geometry, PBE-GGA. Values from VASP.

```
&SYSTEM
  ibrav = 0, nat = 8, ntyp = 3
/
ATOMIC_SPECIES
Cr 52.00 Cr.upf
Zn 65.41 Zn.upf
C 12.01 C.upf
ATOMIC_POSITIONS crystal
Cr 0.5000 0.5000 0.0000
Cr 0.2500 0.7500 0.5000
Zn 0.0000 0.0000 0.0000
Zn 0.7500 0.2500 0.5000
C 0.5772 0.1250 0.2500
C 0.1728 0.6250 0.2500
C 0.3750 0.4228 0.7500
C 0.8750 0.8272 0.7500
CELL_PARAMETERS angstrom
4.6075 0.0000 0.0000
0.0000 4.6075 0.0000
2.3037 2.3037 4.4378
```

Computed properties:
- formation energy (eV/atom) = 0.782
- spin magnetization (μB per cell) = 0.00
- symmetry = I-42d
- Fermi-level density of states (states/eV/atom) = 0.05


# 5
ZrCrC2: optimized geometry, PBE-GGA. Values from VASP.

```
&SYSTEM
  ibrav = 0, nat = 4, ntyp = 3
/
ATOMIC_SPECIES
Cr 52.00 Cr.upf
C 12.01 C.upf
Zr 91.22 Zr.upf
ATOMIC_POSITIONS crystal
Cr 0.0000 0.0000 0.0000
C 0.2500 0.2500 0.2500
C 0.7500 0.7500 0.7500
Zr 0.5000 0.5000 0.5000
CELL_PARAMETERS angstrom
0.0000 2.7459 2.7459
2.7459 0.0000 2.7459
2.7459 2.7459 0.0000
```

Computed properties:
- formation energy (eV/atom) = 0.601
- spin magnetization (μB per cell) = 0.16
- symmetry = Fm-3m
- Fermi-level density of states (states/eV/atom) = 0.68


# 6
ZrCrC2: optimized geometry, PBE-GGA. Values from VASP.

```
&SYSTEM
  ibrav = 0, nat = 8, ntyp = 3
/
ATOMIC_SPECIES
Cr 52.00 Cr.upf
C 12.01 C.upf
Zr 91.22 Zr.upf
ATOMIC_POSITIONS crystal
Cr 0.5000 0.5000 0.0000
Cr 0.2500 0.7500 0.5000
C 0.5669 0.1250 0.2500
C 0.1831 0.6250 0.2500
C 0.3750 0.4331 0.7500
C 0.8750 0.8169 0.7500
Zr 0.0000 0.0000 0.0000
Zr 0.7500 0.2500 0.5000
CELL_PARAMETERS angstrom
4.6830 0.0000 0.0000
0.0000 4.6830 0.0000
2.3415 2.3415 4.8646
```

Computed properties:
- formation energy (eV/atom) = 0.187
- spin magnetization (μB per cell) = 2.41
- symmetry = I-42d
- Fermi-level density of states (states/eV/atom) = 0.80


# 7
Zr3CrC: optimized geometry, PBE-GGA. Values from VASP.

```
&SYSTEM
  ibrav = 0, nat = 5, ntyp = 3
/
ATOMIC_SPECIES
Cr 52.00 Cr.upf
C 12.01 C.upf
Zr 91.22 Zr.upf
ATOMIC_POSITIONS crystal
Cr 0.5000 0.5000 0.5000
C 0.0000 0.0000 0.0000
Zr 0.0000 0.5000 0.0000
Zr 0.0000 0.0000 0.5000
Zr 0.5000 0.0000 0.0000
CELL_PARAMETERS angstrom
4.5027 0.0000 0.0000
0.0000 4.5027 0.0000
0.0000 0.0000 4.5027
```

Computed properties:
- ΔE to the lowest computed polymorph (meV/atom) = 0
- formation energy (eV/atom) = 0.044
- spin magnetization (μB per cell) = 0.00
- symmetry = Pm-3m
- Fermi-level density of states (states/eV/atom) = 0.94


# 8
ZrCrC: optimized geometry, PBE-GGA. Values from VASP.

```
&SYSTEM
  ibrav = 0, nat = 6, ntyp = 3
/
ATOMIC_SPECIES
Zr 91.22 Zr.upf
C 12.01 C.upf
Cr 52.00 Cr.upf
ATOMIC_POSITIONS crystal
Zr 0.3116 0.7500 0.6232
Zr 0.6884 0.2500 0.3768
C 0.1912 0.2500 0.3825
C 0.8088 0.7500 0.6175
Cr 0.0000 0.0000 0.0000
Cr 0.0000 0.5000 0.0000
CELL_PARAMETERS angstrom
-3.9529 -0.2588 2.6336
1.5705 -3.2810 2.0348
3.7826 2.8404 1.6605
```

Computed properties:
- formation energy (eV/atom) = -0.012
- spin magnetization (μB per cell) = 0.00
- symmetry = Cmcm
- Fermi-level density of states (states/eV/atom) = 0.69


# 9
ZrCrC2: optimized geometry, PBE-GGA. Values from VASP.

```
&SYSTEM
  ibrav = 0, nat = 4, ntyp = 3
/
ATOMIC_SPECIES
Cr 52.00 Cr.upf
C 12.01 C.upf
Zr 91.22 Zr.upf
ATOMIC_POSITIONS crystal
Cr 0.0000 0.0000 0.0000
C 0.2607 0.2607 0.2180
C 0.7393 0.7393 0.7820
Zr 0.5000 0.5000 0.5000
CELL_PARAMETERS angstrom
-1.9822 -2.4427 -0.3857
1.1452 -2.8825 -0.6514
-0.0039 -2.7694 4.5380
```

Computed properties:
- formation energy (eV/atom) = -0.210
- spin magnetization (μB per cell) = 1.46
- symmetry = R-3m
- Fermi-level density of states (states/eV/atom) = 0.61


# 10
Zr2CrC: optimized geometry, PBE-GGA. Values from VASP.

```
&SYSTEM
  ibrav = 0, nat = 8, ntyp = 3
/
ATOMIC_SPECIES
Cr 52.00 Cr.upf
C 12.01 C.upf
Zr 91.22 Zr.upf
ATOMIC_POSITIONS crystal
Cr 0.0000 0.0000 0.0000
Cr 0.7500 0.2500 0.5000
C 0.5000 0.5000 0.0000
C 0.2500 0.7500 0.5000
Zr 0.5447 0.1250 0.2500
Zr 0.2053 0.6250 0.2500
Zr 0.3750 0.4553 0.7500
Zr 0.8750 0.7947 0.7500
CELL_PARAMETERS angstrom
6.8871 0.0000 0.0000
0.0000 6.8871 0.0000
3.4435 3.4435 3.0308
```

Computed properties:
- formation energy (eV/atom) = 0.423
- spin magnetization (μB per cell) = 6.72
- symmetry = I-42d
- Fermi-level density of states (states/eV/atom) = 1.22


# 11
Cs4C23: optimized geometry, PBE-GGA. Values from VASP.

```
&SYSTEM
  ibrav = 0, nat = 54, ntyp = 2
/
ATOMIC_SPECIES
Cs 132.91 Cs.upf
C 12.01 C.upf
ATOMIC_POSITIONS crystal
Cs 0.0000 0.0000 0.0000
Cs 0.5000 0.5000 0.5000
Cs 0.2500 0.5000 0.0000
Cs 0.7500 0.5000 0.0000
Cs 0.5000 0.0000 0.2500
Cs 0.5000 0.0000 0.7500
Cs 0.0000 0.2500 0.5000
Cs 0.0000 0.7500 0.5000
C 0.2500 0.0000 0.5000
C 0.7500 0.0000 0.5000
C 0.0000 0.5000 0.2500
C 0.0000 0.5000 0.7500
C 0.5000 0.2500 0.0000
C 0.5000 0.7500 0.0000
C 0.8087 0.8087 0.8087
C 0.8087 0.1913 0.1913
C 0.1913 0.8087 0.1913
C 0.1913 0.1913 0.8087
C 0.6913 0.6913 0.6913
C 0.6913 0.3087 0.3087
C 0.3087 0.6913 0.3087
C 0.3087 0.3087 0.6913
C 0.1913 0.1913 0.1913
C 0.1913 0.8087 0.8087
C 0.8087 0.1913 0.8087
C 0.8087 0.8087 0.1913
C 0.3087 0.3087 0.3087
C 0.3087 0.6913 0.6913
C 0.6913 0.3087 0.6913
C 0.6913 0.6913 0.3087
C 0.0000 0.6994 0.1618
C 0.0000 0.3006 0.8382
C 0.0000 0.6994 0.8382
C 0.0000 0.3006 0.1618
C 0.6994 0.1618 0.0000
C 0.6994 0.8382 0.0000
C 0.3006 0.1618 0.0000
C 0.3006 0.8382 0.0000
C 0.1618 0.0000 0.6994
C 0.1618 0.0000 0.3006
C 0.8382 0.0000 0.3006
C 0.8382 0.0000 0.6994
C 0.8006 0.5000 0.3382
C 0.8006 0.5000 0.6618
C 0.1994 0.5000 0.6618
C 0.1994 0.5000 0.3382
C 0.5000 0.3382 0.8006
C 0.5000 0.6618 0.1994
C 0.5000 0.3382 0.1994
C 0.5000 0.6618 0.8006
C 0.3382 0.8006 0.5000
C 0.3382 0.1994 0.5000
C 0.6618 0.8006 0.5000
C 0.6618 0.1994 0.5000
CELL_PARAMETERS angstrom
7.7586 0.0000 0.0000
0.0000 7.7586 0.0000
0.0000 0.0000 7.7586
```

Computed properties:
- formation energy (eV/atom) = 1.847
- spin magnetization (μB per cell) = 0.01
- symmetry = Pm-3n
- Fermi-level density of states (states/eV/atom) = 0.38


# 12
Cs2C3: optimized geometry, PBE-GGA. Values from VASP.

```
&SYSTEM
  ibrav = 0, nat = 5, ntyp = 2
/
ATOMIC_SPECIES
Cs 132.91 Cs.upf
C 12.01 C.upf
ATOMIC_POSITIONS crystal
Cs 0.6667 0.3333 0.2235
Cs 0.3333 0.6667 0.7765
C 0.0000 0.0000 0.0000
C 0.6667 0.3333 0.7174
C 0.3333 0.6667 0.2826
CELL_PARAMETERS angstrom
2.8369 -4.9137 0.0000
2.8369 4.9137 0.0000
0.0000 0.0000 6.8890
```

Computed properties:
- formation energy (eV/atom) = 3.236
- spin magnetization (μB per cell) = 8.00
- symmetry = P-3m1
- Fermi-level density of states (states/eV/atom) = 1.95


Q: Among the records above, which one has the highest spin magnetization?
A: Cs2C3


Q: formation energy of number 11 (Cs4C23)?
A: 1.847 eV/atom


Repeat the eighth record exactly.
ZrCrC: optimized geometry, PBE-GGA. Values from VASP.

```
&SYSTEM
  ibrav = 0, nat = 6, ntyp = 3
/
ATOMIC_SPECIES
Zr 91.22 Zr.upf
C 12.01 C.upf
Cr 52.00 Cr.upf
ATOMIC_POSITIONS crystal
Zr 0.3116 0.7500 0.6232
Zr 0.6884 0.2500 0.3768
C 0.1912 0.2500 0.3825
C 0.8088 0.7500 0.6175
Cr 0.0000 0.0000 0.0000
Cr 0.0000 0.5000 0.0000
CELL_PARAMETERS angstrom
-3.9529 -0.2588 2.6336
1.5705 -3.2810 2.0348
3.7826 2.8404 1.6605
```

Computed properties:
- formation energy (eV/atom) = -0.012
- spin magnetization (μB per cell) = 0.00
- symmetry = Cmcm
- Fermi-level density of states (states/eV/atom) = 0.69